First-principles (PBE) data for an optimized crystal structure of Ti2AlTcO, as listed in Alexandria via LeMat-Bulk.

Unit cell a=4.932 b=4.932 c=3.720 alpha=90.00 beta=90.00 gamma=90.00
Element x y z (fractional)
Ti: 0.000 0.500 0.000
Ti: 0.500 0.000 0.000
Al: 0.000 0.000 0.500
Tc: 0.500 0.500 0.000
O: 0.500 0.500 0.500

## Properties
* D(E_F): 6.86 states/eV per cell
* SG: P4/mmm

=====

First-principles (PBE) data for an optimized crystal structure of AlTlTcO6, as listed in Alexandria via LeMat-Bulk.

Unit cell a=5.089 b=5.089 c=9.740 alpha=90.00 beta=90.00 gamma=120.00
Element x y z (fractional)
Al: 0.333 0.667 0.250
Al: 0.667 0.333 0.750
Tl: 0.000 0.000 0.000
Tl: 0.000 0.000 0.500
Tc: 0.333 0.667 0.750
Tc: 0.667 0.333 0.250
O: 0.001 0.376 0.142
O: 0.001 0.625 0.358
O: 0.375 0.376 0.358
O: 0.375 0.999 0.142
O: 0.376 0.001 0.642
O: 0.376 0.375 0.858
O: 0.624 0.625 0.142
O: 0.624 0.999 0.358
O: 0.625 0.001 0.858
O: 0.625 0.624 0.642
O: 0.999 0.375 0.642
O: 0.999 0.624 0.858

## Properties
* D(E_F): 5.19 states/eV per cell
* SG: P-31c

=====

First-principles (PBE) data for an optimized crystal structure of AlTlTc2O8, as listed in Alexandria via LeMat-Bulk.

Unit cell a=5.337 b=5.337 c=8.072 alpha=92.82 beta=92.82 gamma=63.84
Element x y z (fractional)
Al: 0.000 0.000 0.000
Tl: 0.000 0.000 0.500
Tc: 0.364 0.364 0.202
Tc: 0.636 0.636 0.798
O: 0.203 0.203 0.062
O: 0.206 0.735 0.166
O: 0.265 0.794 0.834
O: 0.315 0.315 0.409
O: 0.685 0.685 0.591
O: 0.735 0.206 0.166
O: 0.794 0.265 0.834
O: 0.797 0.797 0.938

## Properties
* D(E_F): 5.97 states/eV per cell
* SG: C2/m

=====

First-principles (PBE) data for an optimized crystal structure of AlTeO3, as listed in Alexandria via LeMat-Bulk.

Unit cell a=4.103 b=4.103 c=4.103 alpha=90.00 beta=90.00 gamma=90.00
Element x y z (fractional)
Al: 0.000 0.000 0.000
Te: 0.500 0.500 0.500
O: 0.000 0.500 0.500
O: 0.500 0.000 0.500
O: 0.500 0.500 0.000

## Properties
* D(E_F): 2.02 states/eV per cell
* SG: Pm-3m

=====

First-principles (PBE) data for an optimized crystal structure of AlTeO2, as listed in Alexandria via LeMat-Bulk.

Unit cell a=5.278 b=5.278 c=8.583 alpha=90.00 beta=90.00 gamma=90.00
Element x y z (fractional)
Al: 0.000 0.000 0.000
Al: 0.000 0.500 0.250
Al: 0.500 0.000 0.750
Al: 0.500 0.500 0.500
Te: 0.000 0.000 0.500
Te: 0.000 0.500 0.750
Te: 0.500 0.000 0.250
Te: 0.500 0.500 0.000
O: 0.091 0.250 0.125
O: 0.250 0.591 0.375
O: 0.250 0.909 0.875
O: 0.409 0.250 0.625
O: 0.591 0.750 0.625
O: 0.750 0.091 0.875
O: 0.750 0.409 0.375
O: 0.909 0.750 0.125

## Properties
* relative energy among the computed polymorphs: 136 meV/atom
* D(E_F): 3.83 states/eV per cell
* SG: I-42d

=====

First-principles (PBE) data for an optimized crystal structure of AlTe2O, as listed in Alexandria via LeMat-Bulk.

Unit cell a=3.179 b=3.179 c=28.048 alpha=90.00 beta=90.00 gamma=120.00
Element x y z (fractional)
Al: 0.000 0.000 0.000
Al: 0.333 0.667 0.667
Al: 0.667 0.333 0.333
Te: 0.000 0.000 0.102
Te: 0.000 0.000 0.898
Te: 0.333 0.667 0.565
Te: 0.333 0.667 0.769
Te: 0.667 0.333 0.231
Te: 0.667 0.333 0.435
O: 0.000 0.000 0.500
O: 0.333 0.667 0.167
O: 0.667 0.333 0.833

## Properties
* relative energy among the computed polymorphs: 464 meV/atom
* D(E_F): 8.97 states/eV per cell
* SG: R-3m

=====

Values for total magnetization, μB per cell, ordered as above
0.0, 0.0, 2.0, 0.0, 0.0, 0.0
Values for energy relative to the elements, uncorrected, eV/atom, ordered as above
0.124, -1.546, -1.574, -0.545, -1.592, 0.267